## LiCaMg2 (PBE)

Data for an optimized crystal structure of LiCaMg2.

Output
Total moment (μB per atom): 0.000
Relative energy among the computed polymorphs (meV per atom): 130.4
Formation enthalpy at 0 K (eV per atom): 0.073

a b c (Å): 3.4929 3.4929 31.1852
angles (deg): 90.00 90.00 120.00
Space group R3m (No. 160, hexagonal axes)
Symmetry-distinct sites (fractional):
Li 0.0000 0.0000 0.0000 (multiplicity 3)
Ca 0.0000 0.0000 0.8325 (multiplicity 3)
Mg 0.0000 0.0000 0.4091 (multiplicity 3)
Mg 0.0000 0.0000 0.5900 (multiplicity 3)

## LiCaMg2 (PBE)

Data for an optimized crystal structure of LiCaMg2.

Output
Total moment (μB per atom): 0.000
Relative energy among the computed polymorphs (meV per atom): 233.9
Formation enthalpy at 0 K (eV per atom): 0.176

a b c (Å): 4.463 4.463 22.707
angles (deg): 90.00 90.00 90.00
Space group I-42d (No. 122)
Symmetry-distinct sites (fractional):
Li 0.000 0.000 0.000 (multiplicity 4)
Ca 0.000 0.000 0.500 (multiplicity 4)
Mg 0.227 0.250 0.125 (multiplicity 8)

Question: Among the records above, which one has the highest formation enthalpy at 0 K?
Answer: number 2

Question: What is the formula in the second record?
Answer: LiCaMg2